Record 1
First-principles (GGA-PBE) data for a geometry-optimized Ac4Co2H structure, as listed in Alexandria.

Cell and atoms, written as extended XYZ:
```
14
Lattice="5.186 0.000 0.000 0.000 5.186 0.000 0.000 0.000 14.223" Properties=species:S:1:pos:R:3 pbc="T T T"
Ac 0.000 0.000 2.922
Ac 0.000 0.000 11.301
Ac 0.000 2.593 0.000
Ac 0.000 2.593 7.112
Ac 2.593 0.000 0.000
Ac 2.593 0.000 7.112
Ac 2.593 2.593 4.189
Ac 2.593 2.593 10.034
Co 0.000 0.000 5.627
Co 0.000 0.000 8.596
Co 2.593 2.593 1.484
Co 2.593 2.593 12.739
H 0.000 0.000 0.000
H 2.593 2.593 7.112
```

- energy above the most stable polymorph in this dataset (eV/atom) = 0.1397

=====

Record 2
First-principles (GGA-PBE) data for a geometry-optimized KLiMgTl2 structure, as listed in Alexandria.

Cell and atoms, written as extended XYZ:
```
5
Lattice="5.575 0.000 0.000 0.000 5.575 0.000 0.000 0.000 6.252" Properties=species:S:1:pos:R:3 pbc="T T T"
K 0.000 0.000 0.000
Li 2.788 2.788 0.000
Mg 0.000 0.000 3.126
Tl 0.000 2.788 3.126
Tl 2.788 0.000 3.126
```

- formation enthalpy at 0 K (eV per atom) = 0.2679
- energy above the most stable polymorph in this dataset (eV/atom) = 0.2230

=====

Record 3
First-principles (GGA-PBE) data for a geometry-optimized SrTaMn structure, as listed in Alexandria.

Cell and atoms, written as extended XYZ:
```
3
Lattice="3.326 0.000 0.000 -1.663 2.881 0.000 0.000 0.000 7.088" Properties=species:S:1:pos:R:3 pbc="T T T"
Sr 0.000 0.000 0.000
Ta 1.663 0.960 3.039
Mn 0.000 1.920 4.552
```

- formation enthalpy at 0 K (eV per atom) = 0.8372
- energy above the most stable polymorph in this dataset (eV/atom) = 0.2880

=====

Record 4
First-principles (GGA-PBE) data for a geometry-optimized Dy2Ga3Os structure, as listed in Alexandria.

Cell and atoms, written as extended XYZ:
```
6
Lattice="2.725 1.573 4.376 -2.725 1.573 4.376 0.000 -3.146 4.376" Properties=species:S:1:pos:R:3 pbc="T T T"
Dy 0.000 0.000 1.672
Dy 0.000 0.000 11.455
Ga -1.362 -0.787 4.376
Ga -1.362 0.787 8.752
Ga 0.000 1.573 4.376
Os 0.000 0.000 6.564
```

- formation enthalpy at 0 K (eV per atom) = -0.4979

=====

Record 5
First-principles (GGA-PBE) data for a geometry-optimized LiRuW2 structure, as listed in Alexandria.

Cell and atoms, written as extended XYZ:
```
12
Lattice="2.766 0.000 0.000 -1.383 2.396 0.000 0.000 0.000 28.224" Properties=species:S:1:pos:R:3 pbc="T T T"
Li 0.000 0.000 0.000
Li 0.000 1.597 18.816
Li 1.383 0.799 9.408
Ru 0.000 0.000 21.121
Ru 0.000 1.597 11.713
Ru 1.383 0.799 2.305
W 0.000 0.000 6.914
W 0.000 0.000 13.850
W 0.000 1.597 4.442
W 0.000 1.597 25.730
W 1.383 0.799 16.322
W 1.383 0.799 23.258
```

- formation enthalpy at 0 K (eV per atom) = 0.2801

=====

Record 6
First-principles (GGA-PBE) data for a geometry-optimized Tb3Ce3ErTe8 structure, as listed in Alexandria.

Cell and atoms, written as extended XYZ:
```
15
Lattice="4.396 2.538 7.280 -4.396 2.538 7.280 0.000 -5.077 7.280" Properties=species:S:1:pos:R:3 pbc="T T T"
Tb -2.198 -1.269 7.280
Tb -2.198 1.269 14.559
Tb 0.000 2.538 7.280
Ce -4.396 0.000 10.920
Ce -2.198 1.269 3.640
Ce 2.198 1.269 3.640
Er 0.000 0.000 0.000
Te 0.000 -2.504 9.052
Te -2.168 1.252 9.052
Te 0.000 0.000 5.528
Te -2.168 -1.252 12.787
Te 2.168 1.252 9.052
Te 0.000 0.000 16.311
Te 2.168 -1.252 12.787
Te 0.000 2.504 12.787
```

- formation energy from raw total energies (eV per atom) = -1.39

=====

Record 7
First-principles (GGA-PBE) data for a geometry-optimized Li2PmZn2Sn2 structure, as listed in Alexandria.

Cell and atoms, written as extended XYZ:
```
7
Lattice="2.246 1.297 8.283 -2.246 1.297 8.283 0.000 -2.593 8.283" Properties=species:S:1:pos:R:3 pbc="T T T"
Li 0.000 0.000 3.517
Li 0.000 0.000 21.330
Pm 0.000 0.000 0.000
Zn 0.000 0.000 11.061
Zn 0.000 0.000 13.786
Sn 0.000 0.000 6.395
Sn 0.000 0.000 18.452
```

- formation enthalpy at 0 K (eV per atom) = -0.4447

=====

Record 8
First-principles (GGA-PBE) data for a geometry-optimized TlSiAu2 structure, as listed in Alexandria.

Cell and atoms, written as extended XYZ:
```
16
Lattice="5.062 0.000 0.000 0.000 5.062 0.000 0.000 0.000 15.524" Properties=species:S:1:pos:R:3 pbc="T T T"
Tl 0.000 0.000 0.000
Tl 0.000 2.531 3.881
Tl 2.531 0.000 11.643
Tl 2.531 2.531 7.762
Si 0.000 0.000 7.762
Si 0.000 2.531 11.643
Si 2.531 0.000 3.881
Si 2.531 2.531 0.000
Au 0.786 1.265 9.702
Au 1.265 3.317 13.583
Au 1.265 4.276 5.821
Au 1.745 1.265 1.940
Au 3.317 3.796 1.940
Au 3.796 0.786 5.821
Au 3.796 1.745 13.583
Au 4.276 3.796 9.702
```

- energy above the most stable polymorph in this dataset (eV/atom) = 0.1323
- formation energy from raw total energies (eV per atom) = 0.10

=====

Record 9
First-principles (GGA-PBE) data for a geometry-optimized Rb2PbNCl6 structure, as listed in Alexandria.

Cell and atoms, written as extended XYZ:
```
10
Lattice="-4.093 4.093 4.547 4.093 -4.093 4.547 4.093 4.093 -4.547" Properties=species:S:1:pos:R:3 pbc="T T T"
Rb 4.093 0.000 2.273
Rb 0.000 4.093 2.273
Pb 0.000 0.000 0.000
N 0.000 0.000 4.547
Cl 1.915 1.915 0.000
Cl 2.178 -2.178 4.547
Cl 0.000 0.000 2.602
Cl 0.000 0.000 6.492
Cl -2.178 2.178 4.547
Cl 2.178 2.178 4.547
```

- formation energy from raw total energies (eV per atom) = -0.65

=====

Record 10
First-principles (GGA-PBE) data for a geometry-optimized Sm7IrSe5 structure, as listed in Alexandria.

Cell and atoms, written as extended XYZ:
```
26
Lattice="2.020 -6.901 0.000 2.020 6.901 0.000 0.000 0.000 24.919" Properties=species:S:1:pos:R:3 pbc="T T T"
Sm 2.020 6.255 12.459
Sm 2.020 5.107 5.376
Sm 2.020 4.842 19.672
Sm 2.020 2.930 10.775
Sm 2.020 2.703 14.172
Sm 2.020 1.417 3.208
Sm 2.020 1.024 21.419
Sm 2.020 -1.024 8.960
Sm 2.020 -1.417 15.668
Sm 2.020 -2.703 1.713
Sm 2.020 -2.930 23.234
Sm 2.020 -4.842 7.213
Sm 2.020 -5.107 17.836
Sm 2.020 -6.255 0.000
Ir 2.020 2.630 0.308
Ir 2.020 -2.630 12.768
Se 2.020 6.239 2.690
Se 2.020 6.008 22.335
Se 2.020 3.975 8.068
Se 2.020 3.717 16.928
Se 2.020 0.182 6.173
Se 2.020 -0.182 18.633
Se 2.020 -3.717 4.469
Se 2.020 -3.975 20.528
Se 2.020 -6.008 9.876
Se 2.020 -6.239 15.150
```

- formation energy from raw total energies (eV per atom) = -1.51

=====

Record 11
First-principles (GGA-PBE) data for a geometry-optimized SrTiHg2Ge structure, as listed in Alexandria.

Cell and atoms, written as extended XYZ:
```
5
Lattice="5.793 0.000 0.000 0.000 5.793 0.000 0.000 0.000 5.844" Properties=species:S:1:pos:R:3 pbc="T T T"
Sr 0.000 0.000 0.000
Ti 0.000 0.000 2.922
Hg 0.000 2.897 0.000
Hg 2.897 0.000 0.000
Ge 2.897 2.897 2.922
```

- formation enthalpy at 0 K (eV per atom) = 1.2832

=====

Record 12
First-principles (GGA-PBE) data for a geometry-optimized Sr2BeMo structure, as listed in Alexandria.

Cell and atoms, written as extended XYZ:
```
8
Lattice="7.653 0.000 0.000 0.000 7.670 0.000 0.000 0.000 3.807" Properties=species:S:1:pos:R:3 pbc="T T T"
Sr 1.913 1.917 0.000
Sr 1.913 5.752 0.000
Sr 5.740 1.917 0.000
Sr 5.740 5.752 0.000
Be 0.000 0.000 1.904
Be 3.827 3.835 1.904
Mo 0.000 3.835 1.904
Mo 3.827 0.000 1.904
```

- formation enthalpy at 0 K (eV per atom) = 1.0550

=====

no.,calculated total energy (eV per atom),ρ (g/cm3)
1,-4.82,8.91
2,-1.60,4.09
3,-6.73,7.91
4,-5.42,10.69
5,-8.99,12.67
6,-5.48,7.10
7,-3.18,6.05
8,-3.49,10.46
9,-3.16,3.30
10,-6.08,7.84
11,-1.68,5.16
12,-3.43,4.16